[1]
! LiCe2Ge2 (GGA-PBE, optimized geometry); values from VASP
&SYSTEM
  ibrav = 0, nat = 5, ntyp = 3
/
ATOMIC_SPECIES
Li 6.94 Li.upf
Ce 140.12 Ce.upf
Ge 72.64 Ge.upf
CELL_PARAMETERS angstrom
3.955 0.000 1.685
1.210 5.016 2.645
-0.133 -0.058 5.796
ATOMIC_POSITIONS angstrom
Li 2.583 2.508 2.165
Ce 3.723 3.950 4.973
Ge 4.810 3.895 7.906
Ce 1.310 1.008 5.153
Ge 0.223 1.062 2.220
! SG ... Immm (71)
! Crystal system ... orthorhombic
! E_tot ... -5.16 eV/atom
! Formation enthalpy at 0 K ... -2.78 eV/f.u.

=====

[2]
! LiCe2Ge2 (GGA-PBE, optimized geometry); values from VASP
&SYSTEM
  ibrav = 0, nat = 10, ntyp = 3
/
ATOMIC_SPECIES
Ce 140.12 Ce.upf
Ge 72.64 Ge.upf
Li 6.94 Li.upf
CELL_PARAMETERS angstrom
-2.210 -3.637 -4.420
3.860 -4.582 1.840
-5.152 2.022 5.171
ATOMIC_POSITIONS angstrom
Ce 0.746 -6.007 0.311
Ge 1.807 -3.842 2.258
Ge -2.416 -2.657 3.395
Ce -0.377 -1.545 1.459
Ge -5.308 -2.355 0.333
Ge -1.085 -3.540 -0.804
Ce -4.247 -0.190 2.280
Li 1.378 -3.200 -0.185
Li 0.273 -5.019 -2.395
Ce -3.125 -4.652 1.131
! SG ... Ibam (72)
! Crystal system ... orthorhombic
! E_tot ... -5.15 eV/atom
! Formation enthalpy at 0 K ... -2.75 eV/f.u.

=====

[3]
! LiCe5Ge5 (GGA-PBE, optimized geometry); values from VASP
&SYSTEM
  ibrav = 0, nat = 11, ntyp = 3
/
ATOMIC_SPECIES
Ge 72.64 Ge.upf
Ce 140.12 Ce.upf
Li 6.94 Li.upf
CELL_PARAMETERS angstrom
5.909 0.000 0.000
-2.954 6.581 -0.099
0.000 -2.582 7.945
ATOMIC_POSITIONS angstrom
Ge 0.000 0.150 6.549
Ce 2.954 1.256 2.634
Ge 0.000 1.315 2.644
Ce 0.000 2.743 5.213
Ce 0.000 3.966 1.264
Ge 2.954 0.000 0.000
Ge 2.954 3.850 1.298
Li 0.000 0.000 0.000
Ce 0.000 -1.291 3.973
Ge 2.954 2.685 5.203
Ce 2.954 0.033 6.582
! SG ... C2/m (12)
! Crystal system ... monoclinic
! E_tot ... -5.29 eV/atom
! Formation enthalpy at 0 K ... -3.55 eV/f.u.

=====

[4]
! Li2CeGe2 (GGA-PBE, optimized geometry); values from VASP
&SYSTEM
  ibrav = 0, nat = 5, ntyp = 3
/
ATOMIC_SPECIES
Li 6.94 Li.upf
Ce 140.12 Ce.upf
Ge 72.64 Ge.upf
CELL_PARAMETERS angstrom
3.894 0.000 -1.455
-0.544 3.856 -1.455
0.154 0.178 6.351
ATOMIC_POSITIONS angstrom
Li 2.862 1.053 1.721
Ce 0.000 0.000 0.000
Ge 1.428 1.644 3.823
Li 0.643 2.980 1.721
Ge 2.076 2.389 -0.382
! SG ... I4/mmm (139)
! Crystal system ... tetragonal
! E_tot ... -4.34 eV/atom
! Formation enthalpy at 0 K ... -2.73 eV/f.u.

=====

[5]
! LiCeLuGe (GGA-PBE, optimized geometry); values from VASP
&SYSTEM
  ibrav = 0, nat = 4, ntyp = 4
/
ATOMIC_SPECIES
Li 6.94 Li.upf
Ce 140.12 Ce.upf
Lu 174.97 Lu.upf
Ge 72.64 Ge.upf
CELL_PARAMETERS angstrom
5.030 0.000 0.000
2.515 4.356 0.000
2.515 1.452 4.107
ATOMIC_POSITIONS angstrom
Li 7.545 4.356 3.080
Ce 0.000 0.000 0.000
Lu 5.030 2.904 2.053
Ge 2.515 1.452 1.027
! SG ... F-43m (216)
! Crystal system ... cubic
! E_tot ... -4.56 eV/atom
! Formation enthalpy at 0 K ... -1.24 eV/f.u.

=====

[6]
! LiCeMgGe2 (GGA-PBE, optimized geometry); values from VASP
&SYSTEM
  ibrav = 0, nat = 5, ntyp = 4
/
ATOMIC_SPECIES
Ge 72.64 Ge.upf
Ce 140.12 Ce.upf
Li 6.94 Li.upf
Mg 24.30 Mg.upf
CELL_PARAMETERS angstrom
4.206 0.000 0.000
0.000 4.206 0.000
-2.103 -2.103 5.847
ATOMIC_POSITIONS angstrom
Ge 2.103 2.103 1.254
Ge 0.000 0.000 4.593
Ce 0.000 0.000 0.000
Li 0.000 2.103 2.923
Mg 2.103 0.000 2.923
! SG ... I-4m2 (119)
! Crystal system ... tetragonal
! E_tot ... -4.24 eV/atom
! Formation enthalpy at 0 K ... -2.54 eV/f.u.

=====

[7]
! LiCe2MnGe6 (GGA-PBE, optimized geometry); values from VASP
&SYSTEM
  ibrav = 0, nat = 20, ntyp = 4
/
ATOMIC_SPECIES
Ge 72.64 Ge.upf
Li 6.94 Li.upf
Mn 54.94 Mn.upf
Ce 140.12 Ce.upf
CELL_PARAMETERS angstrom
6.152 0.000 0.000
3.076 5.328 0.000
3.076 1.776 11.674
ATOMIC_POSITIONS angstrom
Ge 7.967 2.505 4.594
Ge 6.152 5.647 4.594
Ge 6.152 5.125 10.268
Li 6.152 3.552 8.369
Mn 6.152 3.552 5.837
Mn 0.000 0.000 0.000
Ce 3.076 1.776 7.737
Ge 6.152 1.457 7.080
Ge 7.514 4.338 1.406
Li 6.152 3.552 3.305
Ge 6.152 1.979 1.406
Ge 7.514 2.766 10.268
Ge 7.967 4.600 7.080
Ge 4.790 4.338 1.406
Ce 9.229 5.328 3.937
Ge 4.790 2.766 10.268
Ce 3.076 1.776 1.523
Ge 4.338 4.600 7.080
Ce 9.229 5.328 10.151
Ge 4.338 2.505 4.594
! SG ... R-3m (166)
! Crystal system ... trigonal
! E_tot ... -5.45 eV/atom
! Formation enthalpy at 0 K ... -3.82 eV/f.u.

=====

[8]
! LiCe2GeN (GGA-PBE, optimized geometry); values from VASP
&SYSTEM
  ibrav = 0, nat = 5, ntyp = 4
/
ATOMIC_SPECIES
Ge 72.64 Ge.upf
Ce 140.12 Ce.upf
Li 6.94 Li.upf
N 14.01 N.upf
CELL_PARAMETERS angstrom
4.191 0.000 0.000
0.000 4.807 0.000
0.000 0.000 4.807
ATOMIC_POSITIONS angstrom
Ge 2.096 2.403 2.403
Ce 0.000 0.000 2.403
Li 2.096 0.000 0.000
Ce 0.000 2.403 0.000
N 0.000 0.000 0.000
! SG ... P4/mmm (123)
! Crystal system ... tetragonal
! E_tot ... -6.25 eV/atom
! Formation energy without anion corrections ... -902.8 meV per atom